Entry 1:
This record from the Alexandria database describes Cs3RbAuO after structural relaxation. The functional is GGA-PBE.

V, Å³/f.u.: 330
Total DFT energy (no corrections), eV for the cell shown: -29.6
Crystal system: monoclinic
Uncorrected formation energy, eV/atom: -0.508

Cell lengths 11.4892, 11.4892, 6.2188 Å; angles 99.60, 99.60, 121.24 degrees
Element x y z (fractional)
Cs 0.0999 0.2109 0.9928
Cs 0.1930 0.8070 0.7500
Cs 0.2109 0.0999 0.4928
Cs 0.7891 0.9001 0.5072
Cs 0.8070 0.1930 0.2500
Cs 0.9001 0.7891 0.0072
Rb 0.3974 0.6026 0.7500
Rb 0.6026 0.3974 0.2500
Au 0.2968 0.7032 0.2500
Au 0.7032 0.2968 0.7500
O 0.0569 0.9431 0.7500
O 0.9431 0.0569 0.2500

=====

Entry 2:
This record from the Alexandria database describes CsRb8AuO2 after structural relaxation. The functional is GGA-PBE.

V, Å³/f.u.: 737
Total DFT energy (no corrections), eV for the cell shown: -27.7
Crystal system: trigonal
Uncorrected formation energy, eV/atom: -0.491

Cell lengths 10.4306, 10.4306, 7.8195 Å; angles 90.00, 90.00, 120.00 degrees
Element x y z (fractional)
Cs 0.0000 0.0000 0.0000
Rb 0.2008 0.4015 0.6660
Rb 0.2008 0.7992 0.6660
Rb 0.3333 0.6667 0.2191
Rb 0.4015 0.2008 0.3340
Rb 0.5985 0.7992 0.6660
Rb 0.6667 0.3333 0.7809
Rb 0.7992 0.2008 0.3340
Rb 0.7992 0.5985 0.3340
Au 0.0000 0.0000 0.5000
O 0.3333 0.6667 0.5477
O 0.6667 0.3333 0.4523

=====

Entry 3:
This record from the Alexandria database describes Cs4Rb3Au3O2 after structural relaxation. The functional is GGA-PBE.

V, Å³/f.u.: 491
Total DFT energy (no corrections), eV for the cell shown: -33.8
Crystal system: orthorhombic
Uncorrected formation energy, eV/atom: -0.641

Cell lengths 15.2501, 15.2501, 15.2501 Å; angles 158.60, 31.12, 157.68 degrees
Element x y z (fractional)
Cs 0.0920 0.9995 0.0925
Cs 0.3090 0.5000 0.8090
Cs 0.6910 0.5000 0.1910
Cs 0.9070 0.9995 0.9075
Rb 0.4032 0.9990 0.4042
Rb 0.4988 0.4988 0.0000
Rb 0.5948 0.9990 0.5958
Au 0.0027 0.5027 0.5000
Au 0.1781 0.4994 0.6787
Au 0.8207 0.4994 0.3213
O 0.4028 0.4999 0.9029
O 0.5970 0.4999 0.0971

=====

Entry 4:
This record from the Alexandria database describes Cs3Rb4Au3O2 after structural relaxation. The functional is GGA-PBE.

V, Å³/f.u.: 484
Total DFT energy (no corrections), eV for the cell shown: -33.6
Crystal system: orthorhombic
Uncorrected formation energy, eV/atom: -0.620

Cell lengths 15.2021, 15.2021, 15.2021 Å; angles 157.75, 31.04, 158.64 degrees
Element x y z (fractional)
Cs 0.0000 0.0000 0.0000
Cs 0.0940 0.4976 0.5964
Cs 0.9011 0.4976 0.4036
Rb 0.1933 0.9990 0.1943
Rb 0.3971 0.4986 0.8986
Rb 0.6000 0.4986 0.1014
Rb 0.8047 0.9990 0.8057
Au 0.3138 0.9972 0.3166
Au 0.4990 0.9990 0.5000
Au 0.6806 0.9972 0.6834
O 0.1016 0.9987 0.1029
O 0.8957 0.9987 0.8971

=====

Entry 5:
This record from the Alexandria database describes CsRb5Au2O after structural relaxation. The functional is GGA-PBE.

V, Å³/f.u.: 393
Total DFT energy (no corrections), eV for the cell shown: -21.1
Crystal system: tetragonal
Uncorrected formation energy, eV/atom: -0.438

Cell lengths 8.2578, 8.2578, 8.2578 Å; angles 120.83, 120.83, 88.57 degrees
Element x y z (fractional)
Cs 0.0000 0.0000 0.0000
Rb 0.0050 0.0050 0.5291
Rb 0.0050 0.4759 0.0000
Rb 0.4678 0.4678 0.0000
Rb 0.4759 0.0050 0.0000
Rb 0.4759 0.4759 0.4709
Au 0.4672 0.9672 0.5000
Au 0.9672 0.4672 0.5000
O 0.2335 0.2335 0.0000

=====

Entry 6:
This record from the Alexandria database describes CsRbAuO2 after structural relaxation. The functional is GGA-PBE.

V, Å³/f.u.: 161
Total DFT energy (no corrections), eV for the cell shown: -38.2
Crystal system: orthorhombic
Uncorrected formation energy, eV/atom: -0.822

Cell lengths 8.4409, 8.4409, 4.8689 Å; angles 90.00, 90.00, 111.81 degrees
Element x y z (fractional)
Cs 0.2500 0.7500 0.7722
Cs 0.7500 0.2500 0.2278
Rb 0.2500 0.2500 0.0000
Rb 0.7500 0.7500 0.0000
Au 0.0000 0.0000 0.5000
Au 0.5000 0.5000 0.5000
O 0.1074 0.8926 0.2451
O 0.3926 0.6074 0.2451
O 0.6074 0.3926 0.7549
O 0.8926 0.1074 0.7549

=====

Entry 7:
This record from the Alexandria database describes CsRb3AuO after structural relaxation. The functional is GGA-PBE.

V, Å³/f.u.: 320
Total DFT energy (no corrections), eV for the cell shown: -30.2
Crystal system: monoclinic
Uncorrected formation energy, eV/atom: -0.522

Cell lengths 13.8034, 13.8034, 6.4173 Å; angles 90.80, 90.80, 148.38 degrees
Element x y z (fractional)
Cs 0.2088 0.7912 0.7500
Cs 0.7912 0.2088 0.2500
Rb 0.2600 0.3277 0.0739
Rb 0.3277 0.2600 0.5739
Rb 0.3644 0.6356 0.7500
Rb 0.6356 0.3644 0.2500
Rb 0.6723 0.7400 0.4261
Rb 0.7400 0.6723 0.9261
Au 0.2939 0.7061 0.2500
Au 0.7061 0.2939 0.7500
O 0.4610 0.5390 0.7500
O 0.5390 0.4610 0.2500

=====

Entry 8:
This record from the Alexandria database describes Cs2Rb4AuO after structural relaxation. The functional is GGA-PBE.

V, Å³/f.u.: 569
Total DFT energy (no corrections), eV for the cell shown: -17.0
Crystal system: triclinic
Uncorrected formation energy, eV/atom: -0.400

Cell lengths 8.6277, 9.0802, 9.1056 Å; angles 74.12, 63.62, 63.38 degrees
Element x y z (fractional)
Cs 0.0000 0.0000 0.0000
Cs 0.3033 0.2270 0.2124
Rb 0.1314 0.6297 0.6654
Rb 0.6039 0.6061 0.2391
Rb 0.6085 0.6681 0.6762
Rb 0.6345 0.2216 0.5959
Au 0.6615 0.9181 0.9225
O 0.4860 0.5402 0.5551

=====

Entry 9:
This record from the Alexandria database describes Cs2RhAuO4 after structural relaxation. The functional is GGA-PBE.

V, Å³/f.u.: 169
Total DFT energy (no corrections), eV for the cell shown: -37.4
Crystal system: tetragonal
Uncorrected formation energy, eV/atom: -0.659

Cell lengths 6.0525, 6.0525, 6.0525 Å; angles 112.60, 112.60, 103.38 degrees
Element x y z (fractional)
Cs 0.0000 0.0000 0.0000
Cs 0.7500 0.2500 0.5000
Rh 0.2500 0.7500 0.5000
Au 0.5000 0.5000 0.0000
O 0.2653 0.6757 0.1740
O 0.3243 0.4983 0.5897
O 0.5017 0.0914 0.8260
O 0.9086 0.7347 0.4103

=====

Entry 10:
This record from the Alexandria database describes Cs8SbAu2O after structural relaxation. The functional is GGA-PBE.

V, Å³/f.u.: 640
Total DFT energy (no corrections), eV for the cell shown: -27.7
Crystal system: monoclinic
Uncorrected formation energy, eV/atom: -0.436

Cell lengths 6.7588, 11.2479, 8.6493 Å; angles 90.00, 103.15, 90.00 degrees
Element x y z (fractional)
Cs 0.0269 0.0000 0.2557
Cs 0.1136 0.5000 0.8039
Cs 0.4536 0.2849 0.2267
Cs 0.4536 0.7151 0.2267
Cs 0.5464 0.2849 0.7733
Cs 0.5464 0.7151 0.7733
Cs 0.8864 0.5000 0.1961
Cs 0.9731 0.0000 0.7443
Sb 0.5000 0.0000 0.0000
Au 0.0000 0.2719 0.5000
Au 0.0000 0.7281 0.5000
O 0.5000 0.5000 0.0000

=====

Entry 11:
This record from the Alexandria database describes Cs5AuSe2O after structural relaxation. The functional is GGA-PBE.

V, Å³/f.u.: 348
Total DFT energy (no corrections), eV for the cell shown: -25.9
Crystal system: tetragonal
Uncorrected formation energy, eV/atom: -0.718

Cell lengths 7.8013, 7.8013, 7.8013 Å; angles 117.40, 117.40, 94.56 degrees
Element x y z (fractional)
Cs 0.0000 0.0000 0.0000
Cs 0.4984 0.4984 0.5016
Cs 0.4984 0.9968 0.0000
Cs 0.9968 0.4984 0.0000
Cs 0.9968 0.9968 0.4984
Au 0.4484 0.4484 0.0000
Se 0.4989 0.9989 0.5000
Se 0.9989 0.4989 0.5000
O 0.2495 0.2495 0.0000